! PBE Nd7Y3Ho2, optimized geometry; values from VASP
&SYSTEM
  ibrav = 0, nat = 12, ntyp = 3
/
ATOMIC_SPECIES
Nd 144.24 Nd.upf
Y 88.91 Y.upf
Ho 164.93 Ho.upf
CELL_PARAMETERS angstrom
3.319 1.916 11.196
-3.319 1.916 11.196
0.000 -3.832 11.196
ATOMIC_POSITIONS crystal
Nd 0.000 0.000 0.000
Nd 0.088 0.088 0.576
Nd 0.088 0.576 0.088
Nd 0.424 0.912 0.912
Nd 0.576 0.088 0.088
Nd 0.912 0.424 0.912
Nd 0.912 0.912 0.424
Y 0.349 0.349 0.349
Y 0.500 0.500 0.500
Y 0.651 0.651 0.651
Ho 0.165 0.165 0.165
Ho 0.835 0.835 0.835
! N(E_F)   19.51 states/eV/f.u.
! Spin magnetization   0.000 μB per atom
! Offset from the most stable computed form   171.2 meV per atom
! Crystal system   trigonal
! Symmetry   R-3m
! Electronic total energy   -4.88 eV per atom


! PBE Al3Cr2, optimized geometry; values from VASP
&SYSTEM
  ibrav = 0, nat = 10, ntyp = 2
/
ATOMIC_SPECIES
Al 26.98 Al.upf
Cr 52.00 Cr.upf
CELL_PARAMETERS angstrom
0.000 6.358 2.467
4.508 0.000 2.467
4.508 6.358 0.000
ATOMIC_POSITIONS crystal
Al 0.000 0.000 0.000
Al 0.250 0.250 0.250
Al 0.415 0.525 0.374
Al 0.525 0.415 0.685
Al 0.565 0.876 0.725
Al 0.876 0.565 0.835
Cr 0.108 0.780 0.289
Cr 0.427 0.961 0.470
Cr 0.780 0.108 0.823
Cr 0.961 0.427 0.142
! N(E_F)   4.12 states/eV/f.u.
! Spin magnetization   0.745 μB per atom
! Crystal system   orthorhombic
! Symmetry   Fdd2
! Electronic total energy   -6.09 eV per atom


! PBE AlSi2Te, optimized geometry; values from VASP
&SYSTEM
  ibrav = 0, nat = 4, ntyp = 3
/
ATOMIC_SPECIES
Al 26.98 Al.upf
Si 28.09 Si.upf
Te 127.60 Te.upf
CELL_PARAMETERS angstrom
-1.711 2.440 4.590
1.711 -2.440 4.590
1.711 2.440 -4.590
ATOMIC_POSITIONS crystal
Al 0.000 0.000 0.000
Si 0.234 0.734 0.500
Si 0.766 0.266 0.500
Te 0.500 0.500 0.000
! N(E_F)   2.15 states/eV/f.u.
! Spin magnetization   0.000 μB per atom
! Offset from the most stable computed form   362.6 meV per atom
! Uncorrected formation energy   0.50 eV per atom
! Crystal system   orthorhombic
! Symmetry   Immm
! Electronic total energy   -3.94 eV per atom